The following is a PBE calculation of a relaxed ZnRe2Os crystal, from Alexandria.

Summary:
Formation energy from the elements   0.24 eV/atom
Energy   -9.108 eV per atom

a b c (Å): 9.264 2.761 4.672
angles (deg): 90.00 100.16 90.00
Space group C2/m (No. 12)
Inequivalent atoms, fractional coordinates:
Zn1 0.000 0.000 0.000 x2
Re1 0.241 0.000 0.743 x4
Os1 0.000 0.500 0.500 x2


The following is a PBE calculation of a relaxed ZnRe2Os crystal, from Alexandria.

Summary:
Formation energy from the elements   0.21 eV/atom
Energy   -9.144 eV per atom

a b c (Å): 2.771 3.937 5.332
angles (deg): 90.00 90.00 90.00
Space group Pmm2 (No. 25)
Inequivalent atoms, fractional coordinates:
Zn1 0.000 0.000 0.000 x1
Re1 0.000 0.000 0.498 x1
Re2 0.500 0.500 0.751 x1
Os1 0.500 0.500 0.237 x1


The following is a PBE calculation of a relaxed ZnRe2Os crystal, from Alexandria.

Summary:
Formation energy from the elements   0.23 eV/atom
Energy   -9.118 eV per atom

a b c (Å): 9.188 2.742 4.734
angles (deg): 90.00 99.75 90.00
Space group Cm (No. 8)
Inequivalent atoms, fractional coordinates:
Zn1 0.000 0.000 0.000 x2
Re1 0.007 0.500 0.502 x2
Re2 0.260 0.500 0.265 x2
Os1 0.242 0.000 0.754 x2


The following is a PBE calculation of a relaxed ZnRe2Os2 crystal, from Alexandria.

Summary:
Formation energy from the elements   0.31 eV/atom
Energy   -9.416 eV per atom

a b c (Å): 7.597 7.597 2.763
angles (deg): 90.00 90.00 90.00
Space group P4/mbm (No. 127)
Inequivalent atoms, fractional coordinates:
Zn1 0.000 0.000 0.000 x2
Re1 0.164 0.336 0.500 x4
Os1 0.127 0.627 0.000 x4


The following is a PBE calculation of a relaxed ZnRe2Os crystal, from Alexandria.

Summary:
Formation energy from the elements   0.37 eV/atom
Energy   -8.980 eV per atom

a b c (Å): 2.859 4.577 9.114
angles (deg): 90.00 90.00 90.00
Space group Cmmm (No. 65)
Inequivalent atoms, fractional coordinates:
Zn1 0.000 0.000 0.000 x2
Re1 0.000 0.500 0.252 x4
Os1 0.000 0.000 0.500 x2


The following is a PBE calculation of a relaxed ZnReOs3 crystal, from Alexandria.

Summary:
Formation energy from the elements   2.20 eV/atom
Energy   -7.280 eV per atom

a b c (Å): 4.378 4.378 4.378
angles (deg): 90.00 90.00 90.00
Space group Pm-3m (No. 221)
Inequivalent atoms, fractional coordinates:
Zn1 0.000 0.000 0.000 x1
Re1 0.500 0.500 0.500 x1
Os1 0.000 0.000 0.500 x3


The following is a PBE calculation of a relaxed ZnReOs3 crystal, from Alexandria.

Summary:
Formation energy from the elements   2.22 eV/atom
Energy   -7.262 eV per atom

a b c (Å): 4.708 4.708 4.708
angles (deg): 90.00 90.00 90.00
Space group Pm-3m (No. 221)
Inequivalent atoms, fractional coordinates:
Zn1 0.000 0.000 0.000 x1
Re1 0.500 0.500 0.500 x1
Os1 0.000 0.500 0.500 x3


The following is a PBE calculation of a relaxed Zn2ReOs crystal, from Alexandria.

Summary:
Formation energy from the elements   0.23 eV/atom
Energy   -6.330 eV per atom

a b c (Å): 8.823 2.784 4.762
angles (deg): 90.00 97.31 90.00
Space group Cm (No. 8)
Inequivalent atoms, fractional coordinates:
Zn1 0.000 0.000 0.000 x2
Zn2 0.245 0.000 0.794 x2
Re1 0.493 0.000 0.496 x2
Os1 0.249 0.500 0.296 x2


The following is a PBE calculation of a relaxed ZnRe2Os crystal, from Alexandria.

Summary:
Formation energy from the elements   0.44 eV/atom
Energy   -8.908 eV per atom

a b c (Å): 3.821 3.821 4.004
angles (deg): 90.00 90.00 90.00
Space group P4/mmm (No. 123)
Inequivalent atoms, fractional coordinates:
Zn1 0.000 0.000 0.000 x1
Re1 0.000 0.500 0.500 x2
Os1 0.500 0.500 0.000 x1


The following is a PBE calculation of a relaxed ZnRe2Os crystal, from Alexandria.

Summary:
Formation energy from the elements   0.32 eV/atom
Energy   -9.034 eV per atom

a b c (Å): 3.916 3.916 7.612
angles (deg): 90.00 90.00 90.00
Space group I-4m2 (No. 119)
Inequivalent atoms, fractional coordinates:
Zn1 0.000 0.000 0.000 x2
Re1 0.000 0.000 0.500 x2
Re2 0.000 0.500 0.250 x2
Os1 0.000 0.500 0.750 x2


The following is a PBE calculation of a relaxed ZnRe2Os crystal, from Alexandria.

Summary:
Formation energy from the elements   0.24 eV/atom
Energy   -9.109 eV per atom

a b c (Å): 3.080 4.278 8.800
angles (deg): 90.00 90.00 90.00
Space group Immm (No. 71)
Inequivalent atoms, fractional coordinates:
Zn1 0.000 0.000 0.000 x2
Re1 0.000 0.500 0.253 x4
Os1 0.000 0.000 0.500 x2


The following is a PBE calculation of a relaxed Zn2ReOs crystal, from Alexandria.

Summary:
Formation energy from the elements   0.25 eV/atom
Energy   -6.303 eV per atom

a b c (Å): 8.986 2.799 4.684
angles (deg): 90.00 101.37 90.00
Space group C2/m (No. 12)
Inequivalent atoms, fractional coordinates:
Zn1 0.248 0.000 0.248 x4
Re1 0.000 0.000 0.500 x2
Os1 0.000 0.500 0.000 x2


Look up the formation energy from the elements of the ninth one. 0.44 eV/atom


Which of these has the lowest energy? ZnRe2Os2